Entry 1:
VASP calculation (GGA-PBE) on an optimized crystal structure of MgGaAg2.

Geometry as POSCAR:
```
MgGaAg2
1.0
4.500 0.000 0.000
-2.250 3.897 0.000
0.000 0.000 8.653
Mg Ga Ag
2 2 4
Direct
0.333 0.667 0.250 Mg
0.667 0.333 0.750 Mg
0.000 0.000 0.000 Ga
0.000 0.000 0.500 Ga
0.333 0.667 0.587 Ag
0.333 0.667 0.913 Ag
0.667 0.333 0.087 Ag
0.667 0.333 0.413 Ag
```

Summary:
VASP energy	-21.7	eV/cell


Entry 2:
VASP calculation (GGA-PBE) on an optimized crystal structure of Nd3Mg3GaAg2.

Geometry as POSCAR:
```
Nd3Mg3GaAg2
1.0
7.635 0.000 0.000
-3.817 6.612 0.000
0.000 0.000 4.472
Nd Mg Ga Ag
3 3 1 2
Direct
0.000 0.588 0.000 Nd
0.412 0.412 0.000 Nd
0.588 0.000 0.000 Nd
0.000 0.239 0.500 Mg
0.239 0.000 0.500 Mg
0.761 0.761 0.500 Mg
0.000 0.000 0.000 Ga
0.333 0.667 0.500 Ag
0.667 0.333 0.500 Ag
```

Summary:
VASP energy	-30.4	eV/cell
total moment	0.00	μB per cell


Entry 3:
VASP calculation (GGA-PBE) on an optimized crystal structure of Nd3Mg3Ga2Ag.

Geometry as POSCAR:
```
Nd3Mg3Ga2Ag
1.0
7.527 0.000 0.000
-3.764 6.519 0.000
0.000 0.000 4.508
Nd Mg Ga Ag
3 3 2 1
Direct
0.000 0.578 0.000 Nd
0.422 0.422 0.000 Nd
0.578 0.000 0.000 Nd
0.000 0.243 0.500 Mg
0.243 0.000 0.500 Mg
0.757 0.757 0.500 Mg
0.333 0.667 0.500 Ga
0.667 0.333 0.500 Ga
0.000 0.000 0.000 Ag
```

Summary:
VASP energy	-31.8	eV/cell
total moment	0.01	μB per cell